(P)
## LaMg2ZnCo (PBE)

Data for crystalline LaMg2ZnCo at its relaxed geometry.

a b c (Å): 4.9843 4.9843 4.9504
angles (deg): 90.00 90.00 90.00
Last column: nearest neighbours and their distance in Å.
Positions (direct):
Zn  0.5000  0.5000  0.5000  8 Mg 3.51, 4 La 3.52
Co  0.0000  0.0000  0.0000  2 La 2.48, 4 Mg 2.49
Mg  0.0000  0.5000  0.0000  2 Co 2.49
Mg  0.5000  0.0000  0.0000  2 Co 2.49
La  0.0000  0.0000  0.5000  2 Co 2.48

=====

(Q)
## LaMg2ZnCo (PBE)

Data for crystalline LaMg2ZnCo at its relaxed geometry.

a b c (Å): 4.7942 4.7942 4.7662
angles (deg): 90.00 90.00 90.00
Last column: nearest neighbours and their distance in Å.
Positions (direct):
Zn  0.0000  0.0000  0.5000  2 Co 2.38
Co  0.0000  0.0000  0.0000  2 Zn 2.38, 4 Mg 2.40
Mg  0.0000  0.5000  0.0000  2 Co 2.40
Mg  0.5000  0.0000  0.0000  2 Co 2.40
La  0.5000  0.5000  0.5000  8 Mg 3.38, 4 Zn 3.39

=====

Order of stability, best first: (Q), (P)

=====

(P)
## La2MgZnCo (PBE)

Data for crystalline La2MgZnCo at its relaxed geometry.

a b c (Å): 5.1971 5.1971 5.0221
angles (deg): 90.00 90.00 90.00
Last column: nearest neighbours and their distance in Å.
Positions (direct):
Zn  0.5000  0.5000  0.5000  8 La 3.61, 4 Mg 3.67
Co  0.0000  0.0000  0.0000  2 Mg 2.51, 4 La 2.60
Mg  0.0000  0.0000  0.5000  2 Co 2.51
La  0.0000  0.5000  0.0000  2 Co 2.60
La  0.5000  0.0000  0.0000  2 Co 2.60

=====

(Q)
## La2MgZnCo (PBE)

Data for crystalline La2MgZnCo at its relaxed geometry.

a b c (Å): 5.2445 5.2445 4.8457
angles (deg): 90.00 90.00 90.00
Last column: nearest neighbours and their distance in Å.
Positions (direct):
Zn  0.0000  0.0000  0.5000  2 Co 2.42
Co  0.0000  0.0000  0.0000  2 Zn 2.42, 4 La 2.62
Mg  0.5000  0.5000  0.5000  8 La 3.57, 4 Zn 3.71
La  0.0000  0.5000  0.0000  2 Co 2.62
La  0.5000  0.0000  0.0000  2 Co 2.62

=====

Order of stability, best first: (Q), (P)

=====

(P)
## La2MnCo (PBE)

Data for crystalline La2MnCo at its relaxed geometry.

a b c (Å): 3.7550 4.3181 6.2962
angles (deg): 69.98 90.00 90.00
Last column: nearest neighbours and their distance in Å.
Positions (direct):
Co  0.5000  0.5580  0.7589  2 Mn 2.38
La  0.0000  0.9903  0.8948  4 Co 2.97, 2 Mn 3.13
La  0.5000  0.2704  0.3337  4 Mn 3.05, 3 Co 3.31-3.40
Mn  0.0000  0.6813  0.5126  2 Co 2.38

=====

(Q)
## La2MnCo (PBE)

Data for crystalline La2MnCo at its relaxed geometry.

a b c (Å): 3.3281 3.3281 8.5531
angles (deg): 90.00 90.00 90.00
Last column: nearest neighbours and their distance in Å.
Positions (direct):
Co  0.5000  0.5000  0.6964  4 Mn 2.59
La  0.0000  0.0000  0.9182  1 Mn 2.98, 4 Co 3.02, 4 La 3.33
La  0.5000  0.5000  0.3159  4 Mn 3.20, 1 Co 3.25, 4 La 3.33
Mn  0.0000  0.0000  0.5695  4 Co 2.59

=====

(R)
## La2MnCo (PBE)

Data for crystalline La2MnCo at its relaxed geometry.

a b c (Å): 7.9695 7.9695 6.4163
angles (deg): 51.61 51.61 90.00
Last column: nearest neighbours and their distance in Å.
Positions (direct):
Mn  0.5000  0.5000  0.0000  2 Co 3.07, 8 La 3.25-3.41
Mn  0.2500  0.7500  0.5000  2 Co 3.07, 8 La 3.25-3.41
Co  0.0000  0.0000  0.0000  4 La 2.63
Co  0.7500  0.2500  0.5000  4 La 2.63
La  0.6827  0.1250  0.2500  2 Co 2.63
La  0.0673  0.6250  0.2500  2 Co 2.63
La  0.3750  0.3173  0.7500  2 Co 2.63
La  0.8750  0.9327  0.7500  2 Co 2.63

=====

Order of stability, best first: (P), (Q), (R)

=====

(P)
## LaMn2Co2 (PBE)

Data for crystalline LaMn2Co2 at its relaxed geometry.

a b c (Å): 4.1185 4.1185 5.5396
angles (deg): 68.18 68.18 90.00
Last column: nearest neighbours and their distance in Å.
Positions (direct):
Mn  0.3717  0.3717  0.2567  4 Co 2.36, 1 Mn 2.42
Mn  0.6283  0.6283  0.7433  4 Co 2.36, 1 Mn 2.42
Co  0.7500  0.2500  0.5000  4 Mn 2.36
Co  0.2500  0.7500  0.5000  4 Mn 2.36
La  0.0000  0.0000  0.0000  8 Co 3.13, 10 Mn 3.15-3.50

=====

(Q)
## LaMn2Co2 (PBE)

Data for crystalline LaMn2Co2 at its relaxed geometry.

a b c (Å): 7.2404 7.2404 2.6669
angles (deg): 90.00 90.00 90.00
Last column: nearest neighbours and their distance in Å.
Positions (direct):
Mn  0.3891  0.8891  0.0000  1 Mn 2.27, 4 Co 2.48
Mn  0.8891  0.6109  0.0000  1 Mn 2.27, 4 Co 2.48
Mn  0.6109  0.1109  0.0000  1 Mn 2.27, 4 Co 2.48
Mn  0.1109  0.3891  0.0000  1 Mn 2.27, 4 Co 2.48
Co  0.1718  0.6718  0.5000  6 Mn 2.48-2.59, 2 Co 2.67
Co  0.6718  0.8282  0.5000  6 Mn 2.48-2.59, 2 Co 2.67
Co  0.8282  0.3282  0.5000  6 Mn 2.48-2.59, 2 Co 2.67
Co  0.3282  0.1718  0.5000  6 Mn 2.48-2.59, 2 Co 2.67
La  0.0000  0.0000  0.0000  2 La 2.67, 4 Mn 2.93
La  0.5000  0.5000  0.0000  2 La 2.67, 4 Mn 2.93

=====

Order of stability, best first: (P), (Q)

=====

(P)
## La2CoMo (PBE)

Data for crystalline La2CoMo at its relaxed geometry.

a b c (Å): 8.5566 8.5566 8.5566
angles (deg): 24.36 24.36 24.36
Last column: nearest neighbours and their distance in Å.
Positions (direct):
Co  0.7500  0.7500  0.7500  6 La 2.78
La  0.0097  0.0097  0.0097  3 Co 2.78
La  0.4903  0.4903  0.4903  3 Co 2.78
Mo  0.2500  0.2500  0.2500  6 La 3.12

=====

(Q)
## La2CoMo (PBE)

Data for crystalline La2CoMo at its relaxed geometry.

a b c (Å): 5.4400 5.4400 5.3684
angles (deg): 60.44 60.44 41.22
Last column: nearest neighbours and their distance in Å.
Positions (direct):
Co  0.2500  0.2500  0.2500  4 La 2.67
La  0.9649  0.9649  0.0351  2 Co 2.67
La  0.5351  0.5351  0.4649  2 Co 2.67
Mo  0.7500  0.7500  0.7500  8 La 3.12-3.27, 4 Co 3.30

=====

(R)
## La2CoMo (PBE)

Data for crystalline La2CoMo at its relaxed geometry.

a b c (Å): 7.7117 7.7117 6.2805
angles (deg): 52.12 52.12 90.00
Last column: nearest neighbours and their distance in Å.
Positions (direct):
Mo  0.0000  0.0000  0.0000  4 La 3.03, 2 Co 3.12
Mo  0.7500  0.2500  0.5000  4 La 3.03, 2 Co 3.12
Co  0.5000  0.5000  0.0000  4 La 2.66
Co  0.2500  0.7500  0.5000  4 La 2.66
La  0.5892  0.1250  0.2500  2 Co 2.66
La  0.1608  0.6250  0.2500  2 Co 2.66
La  0.3750  0.4108  0.7500  2 Co 2.66
La  0.8750  0.8392  0.7500  2 Co 2.66

=====

(S)
## La2CoMo (PBE)

Data for crystalline La2CoMo at its relaxed geometry.

a b c (Å): 3.2257 3.2257 8.9740
angles (deg): 90.00 90.00 90.00
Last column: nearest neighbours and their distance in Å.
Positions (direct):
Co  0.5000  0.5000  0.6878  4 Mo 2.51
La  0.0000  0.0000  0.9263  4 Co 3.13, 1 Mo 3.19, 4 La 3.23
La  0.5000  0.5000  0.3151  4 La 3.23, 4 Mo 3.24, 1 Co 3.35
Mo  0.0000  0.0000  0.5708  4 Co 2.51

=====

Order of stability, best first: (S), (Q), (P), (R)

=====

(P)
## La2CoMo (PBE)

Data for crystalline La2CoMo at its relaxed geometry.

a b c (Å): 6.3391 6.3391 4.9127
angles (deg): 67.20 67.20 32.32
Last column: nearest neighbours and their distance in Å.
Positions (direct):
Co  0.1924  0.1924  0.3080  2 Mo 2.28
La  0.9767  0.9767  0.0231  4 Mo 3.17, 4 La 3.38-3.53, 2 Co 3.43-3.44
La  0.7686  0.7686  0.7315  4 Co 3.14, 2 Mo 3.36-3.37, 2 La 3.38
Mo  0.5623  0.5623  0.4374  2 Co 2.28

=====

(Q)
## La2CoMo (PBE)

Data for crystalline La2CoMo at its relaxed geometry.

a b c (Å): 4.9152 4.9152 4.9152
angles (deg): 60.00 60.00 60.00
Last column: nearest neighbours and their distance in Å.
Positions (direct):
Co  0.5000  0.5000  0.5000  4 La 3.01, 4 Mo 3.01
La  0.0000  0.0000  0.0000  4 La 3.01, 4 Mo 3.01
La  0.2500  0.2500  0.2500  4 La 3.01, 4 Co 3.01
Mo  0.7500  0.7500  0.7500  4 La 3.01, 4 Co 3.01

=====

Order of stability, best first: (P), (Q)